1.
# LaErCd2Hg4 | Alexandria | PBE | optimized geometry
# DFT total energy = -1.965 eV per atom
# Density of states at the Fermi level = 0.359 states/eV/atom
# Density = 11.3 Mg/m³
data_LaErCd2Hg4
_chemical_formula_sum 'La3 Er3 Cd6 Hg12'
_symmetry_space_group_name_H-M 'R -3 m'
_symmetry_Int_Tables_number 166
_symmetry_space_group_name_Hall '-R 3 2"'
_cell_length_a 5.1554
_cell_length_b 5.1554
_cell_length_c 25.4693
_cell_angle_alpha 90.00
_cell_angle_beta 90.00
_cell_angle_gamma 120.00
loop_
_atom_site_label
_atom_site_fract_x
_atom_site_fract_y
_atom_site_fract_z
La1 0.0000 0.0000 0.0000
Er1 0.0000 0.0000 0.5000
Cd1 0.0000 0.0000 0.2505
Hg1 0.0000 0.0000 0.1292
Hg2 0.0000 0.0000 0.3800

***

2.
# LiErCdHg4 | Alexandria | PBE | optimized geometry
# DFT total energy = -1.276 eV per atom
# Density of states at the Fermi level = 0.667 states/eV/atom
# Density = 8.6 Mg/m³
data_LiErCdHg4
_chemical_formula_sum 'Li4 Er4 Cd4 Hg16'
_symmetry_space_group_name_H-M 'C m c m'
_symmetry_Int_Tables_number 63
_symmetry_space_group_name_Hall '-C 2c 2'
_cell_length_a 9.911
_cell_length_b 14.941
_cell_length_c 5.692
_cell_angle_alpha 90.00
_cell_angle_beta 90.00
_cell_angle_gamma 90.00
loop_
_atom_site_label
_atom_site_fract_x
_atom_site_fract_y
_atom_site_fract_z
Li1 0.000 0.140 0.250
Er1 0.000 0.354 0.250
Cd1 0.000 0.244 0.750
Hg1 0.000 0.045 0.750
Hg2 0.000 0.445 0.750
Hg3 0.250 0.250 0.000

***

3.
# LiErCdHg | Alexandria | PBE | optimized geometry
# DFT total energy = -2.268 eV per atom
# Density of states at the Fermi level = 0.462 states/eV/atom
# Density = 9.2 Mg/m³
data_LiErCdHg
_chemical_formula_sum 'Li4 Er4 Cd4 Hg4'
_symmetry_space_group_name_H-M 'F -4 3 m'
_symmetry_Int_Tables_number 216
_symmetry_space_group_name_Hall 'F -4 2 3'
_cell_length_a 7.068
_cell_length_b 7.068
_cell_length_c 7.068
_cell_angle_alpha 90.00
_cell_angle_beta 90.00
_cell_angle_gamma 90.00
loop_
_atom_site_label
_atom_site_fract_x
_atom_site_fract_y
_atom_site_fract_z
Li1 0.000 0.000 0.000
Er1 0.000 0.000 0.500
Cd1 0.250 0.250 0.250
Hg1 0.250 0.250 0.750

***

4.
# LiEr2CdHg4 | Alexandria | PBE | optimized geometry
# DFT total energy = -2.054 eV per atom
# Density of states at the Fermi level = 0.363 states/eV/atom
# Density = 11.7 Mg/m³
data_LiEr2CdHg4
_chemical_formula_sum 'Li3 Er6 Cd3 Hg12'
_symmetry_space_group_name_H-M 'R -3 m'
_symmetry_Int_Tables_number 166
_symmetry_space_group_name_Hall '-R 3 2"'
_cell_length_a 5.0145
_cell_length_b 5.0145
_cell_length_c 24.6511
_cell_angle_alpha 90.00
_cell_angle_beta 90.00
_cell_angle_gamma 120.00
loop_
_atom_site_label
_atom_site_fract_x
_atom_site_fract_y
_atom_site_fract_z
Li1 0.0000 0.0000 0.0000
Er1 0.0000 0.0000 0.2473
Cd1 0.0000 0.0000 0.5000
Hg1 0.0000 0.0000 0.1191
Hg2 0.0000 0.0000 0.3701

***

5.
# ErMgCdHg | Alexandria | PBE | optimized geometry
# DFT total energy = -2.208 eV per atom
# Density of states at the Fermi level = 0.424 states/eV/atom
# Density = 9.2 Mg/m³
data_ErMgCdHg
_chemical_formula_sum 'Er4 Mg4 Cd4 Hg4'
_symmetry_space_group_name_H-M 'F -4 3 m'
_symmetry_Int_Tables_number 216
_symmetry_space_group_name_Hall 'F -4 2 3'
_cell_length_a 7.151
_cell_length_b 7.151
_cell_length_c 7.151
_cell_angle_alpha 90.00
_cell_angle_beta 90.00
_cell_angle_gamma 90.00
loop_
_atom_site_label
_atom_site_fract_x
_atom_site_fract_y
_atom_site_fract_z
Er1 0.000 0.000 0.000
Mg1 0.000 0.000 0.500
Cd1 0.250 0.250 0.750
Hg1 0.250 0.250 0.250

***

6.
# ErMnCdHg | Alexandria | PBE | optimized geometry
# DFT total energy = -3.806 eV per atom
# Density of states at the Fermi level = 0.568 states/eV/atom
# Density = 10.3 Mg/m³
data_ErMnCdHg
_chemical_formula_sum 'Er4 Mn4 Cd4 Hg4'
_symmetry_space_group_name_H-M 'F -4 3 m'
_symmetry_Int_Tables_number 216
_symmetry_space_group_name_Hall 'F -4 2 3'
_cell_length_a 7.015
_cell_length_b 7.015
_cell_length_c 7.015
_cell_angle_alpha 90.00
_cell_angle_beta 90.00
_cell_angle_gamma 90.00
loop_
_atom_site_label
_atom_site_fract_x
_atom_site_fract_y
_atom_site_fract_z
Er1 0.000 0.000 0.000
Mn1 0.000 0.000 0.500
Cd1 0.250 0.250 0.750
Hg1 0.250 0.250 0.250

***

- What is the formula in the fifth record?
  ErMgCdHg